VASP calculation (PBE+U) on a relaxed structure of Li3MnCoO5.

Lattice parameters (Å, degrees): 5.026 5.907 6.588 103.63 97.27 106.96
Space group P1 (No. 1)
Symmetry-distinct sites (fractional):
Li 0.000 0.000 0.000 (multiplicity 1)
Li 0.011 0.500 0.008 (multiplicity 1)
Li 0.214 0.398 0.400 (multiplicity 1)
Li 0.401 0.795 0.811 (multiplicity 1)
Li 0.613 0.205 0.204 (multiplicity 1)
Li 0.815 0.601 0.615 (multiplicity 1)
Mn 0.210 0.897 0.403 (multiplicity 1)
Mn 0.609 0.697 0.202 (multiplicity 1)
Co 0.426 0.300 0.818 (multiplicity 1)
Co 0.828 0.122 0.619 (multiplicity 1)
O 0.106 0.427 0.699 (multiplicity 1)
O 0.112 0.951 0.688 (multiplicity 1)
O 0.326 0.848 0.133 (multiplicity 1)
O 0.336 0.374 0.110 (multiplicity 1)
O 0.497 0.227 0.509 (multiplicity 1)
O 0.507 0.766 0.486 (multiplicity 1)
O 0.692 0.649 0.923 (multiplicity 1)
O 0.696 0.150 0.894 (multiplicity 1)
O 0.909 0.581 0.309 (multiplicity 1)
O 0.916 0.024 0.307 (multiplicity 1)

## Properties
As for the energy above the most stable polymorph in this dataset: 0.724 kcal/mol of atoms. As for the crystal system: triclinic. For the calculated total energy, the calculation gives -5.93 eV/atom.